Record 1
ScFeSi: relaxed, PBE.

Lattice parameters (Å, degrees): 4.0497 6.5369 6.6573 90.00 90.00 90.00
Site moments in Bohr magnetons follow the coordinates.
Fractional coordinates of all 12 atoms:
Fe 0.2500 0.1532 0.9382  0.17
Fe 0.7500 0.3468 0.4382  0.17
Fe 0.7500 0.8468 0.0618  0.17
Fe 0.2500 0.6532 0.5618  0.17
Sc 0.2500 0.9873 0.3091  0.00
Sc 0.7500 0.5127 0.8091  0.00
Sc 0.7500 0.0127 0.6909  0.00
Sc 0.2500 0.4873 0.1909  0.00
Si 0.2500 0.2993 0.6083  0.00
Si 0.7500 0.2007 0.1083  0.00
Si 0.7500 0.7007 0.3917  0.00
Si 0.2500 0.7993 0.8917  0.00

=====

Record 2
Sc2Fe3Si5: relaxed, PBE.

Lattice parameters (Å, degrees): 5.2204 7.8232 7.8232 70.83 70.51 70.51
Fractional coordinates of all 20 atoms:
Sc 0.1443 0.5854 0.1260
Sc 0.6443 0.1260 0.5854
Sc 0.8557 0.4146 0.8740
Sc 0.3557 0.8740 0.4146
Fe 0.3522 0.5613 0.7343
Fe 0.8522 0.7343 0.5613
Fe 0.6478 0.4387 0.2656
Fe 0.1478 0.2656 0.4387
Fe 0.2500 0.0000 0.0000
Fe 0.7500 0.0000 0.0000
Si 0.4120 0.2668 0.9092
Si 0.9120 0.9092 0.2668
Si 0.5880 0.7332 0.0908
Si 0.0880 0.0908 0.7332
Si 0.4559 0.7941 0.7941
Si 0.5441 0.2059 0.2059
Si 0.7500 0.5000 0.5000
Si 0.2500 0.5000 0.5000
Si 0.0441 0.2059 0.2059
Si 0.9559 0.7941 0.7941

=====

Record 3
Sc2Fe3Si: relaxed, PBE.

Lattice parameters (Å, degrees): 4.9169 4.9169 8.0404 90.00 90.00 119.25
Site moments in Bohr magnetons follow the coordinates.
Fractional coordinates of all 12 atoms:
Sc 0.6704 0.3296 0.3079  -0.28
Sc 0.3312 0.6688 0.1846  -0.34
Sc 0.3312 0.6688 0.8154  -0.34
Sc 0.6704 0.3296 0.6921  -0.28
Fe 0.1693 0.8307 0.5000  1.47
Fe 0.3338 0.1721 0.0000  1.67
Fe 0.8279 0.6662 0.0000  1.67
Fe 0.8274 0.1726 0.0000  1.82
Fe 0.0001 0.9999 0.2485  1.33
Fe 0.0001 0.9999 0.7515  1.33
Si 0.6672 0.8290 0.5000  -0.02
Si 0.1710 0.3328 0.5000  -0.02

=====

Record 4
ScFe2Si3: relaxed, PBE.

Lattice parameters (Å, degrees): 5.1551 5.6852 5.6852 101.78 90.00 90.00
Fractional coordinates of all 12 atoms:
Sc 0.2500 0.3507 0.3507
Sc 0.7500 0.6493 0.6493
Fe 0.5000 0.7883 0.2117
Fe 0.0000 0.7883 0.2117
Fe 0.0000 0.2117 0.7883
Fe 0.5000 0.2117 0.7883
Si 0.7500 0.4590 0.1102
Si 0.7500 0.1102 0.4590
Si 0.2500 0.5410 0.8898
Si 0.7500 0.0355 0.0355
Si 0.2500 0.9645 0.9645
Si 0.2500 0.8898 0.5410

=====

Record 5
ScFeSi: relaxed, PBE.

Lattice parameters (Å, degrees): 4.1608 5.4468 7.7719 90.00 90.00 90.00
Site moments in Bohr magnetons follow the coordinates.
Fractional coordinates of all 12 atoms:
Sc 0.2500 0.1640 0.5825  -0.11
Sc 0.7500 0.3360 0.0825  -0.11
Sc 0.7500 0.8360 0.4175  -0.11
Sc 0.2500 0.6640 0.9175  -0.11
Si 0.2500 0.0243 0.2088  0.00
Si 0.7500 0.4757 0.7088  0.00
Si 0.7500 0.9757 0.7912  0.00
Si 0.2500 0.5243 0.2912  0.00
Fe 0.2500 0.1423 0.9164  1.07
Fe 0.7500 0.3577 0.4164  1.07
Fe 0.7500 0.8577 0.0836  1.07
Fe 0.2500 0.6423 0.5836  1.07

=====

Record 6
Sc2FeSi: relaxed, PBE.

Lattice parameters (Å, degrees): 5.2108 5.2108 5.2108 135.96 135.96 64.04
Site moments in Bohr magnetons follow the coordinates.
Fractional coordinates of all 4 atoms:
Fe 0.7500 0.2500 0.5000  2.08
Sc 0.0000 0.0000 0.0000  -0.13
Sc 0.2500 0.7500 0.5000  -0.26
Si 0.5000 0.5000 0.0000  0.03

=====

Record 7
ScFeSi: relaxed, PBE.

Lattice parameters (Å, degrees): 4.0328 4.0328 3.1912 90.00 90.00 120.00
Fractional coordinates of all 3 atoms:
Fe 0.0000 0.0000 0.8333
Sc 0.6667 0.3333 0.3333
Si 0.3333 0.6667 0.8334

=====

Record 8
ScFe2Si: relaxed, PBE.

Lattice parameters (Å, degrees): 7.5661 7.5661 7.5661 22.76 22.76 22.76
Site moments in Bohr magnetons follow the coordinates.
Fractional coordinates of all 4 atoms:
Fe 0.0118 0.0118 0.0118  1.34
Fe 0.4882 0.4882 0.4882  1.34
Sc 0.2500 0.2500 0.2500  -0.24
Si 0.7500 0.7500 0.7500  -0.06

=====

Record 9
Sc2FeSi2: relaxed, PBE.

Lattice parameters (Å, degrees): 5.2422 5.2422 9.6975 105.31 105.31 45.48
Fractional coordinates of all 10 atoms:
Sc 0.6994 0.6994 0.6400
Sc 0.3006 0.3006 0.3600
Sc 0.0271 0.0271 0.8465
Sc 0.9729 0.9729 0.1535
Fe 0.7582 0.7582 0.9329
Fe 0.2418 0.2418 0.0671
Si 0.3140 0.3140 0.8519
Si 0.6860 0.6860 0.1481
Si 0.4115 0.4115 0.6510
Si 0.5885 0.5885 0.3490

=====

Record 10
Sc2Fe5Si4: relaxed, PBE.

Lattice parameters (Å, degrees): 5.2149 5.2081 7.0434 79.32 68.27 59.96
Site moments in Bohr magnetons follow the coordinates.
Fractional coordinates of all 11 atoms:
Sc 0.8711 0.0000 0.2578  -0.17
Sc 0.1289 0.0000 0.7422  -0.17
Fe 0.5000 0.0000 0.0000  0.39
Fe 0.0000 0.5000 0.0000  1.59
Fe 0.5000 0.5000 0.0000  1.59
Fe 0.2500 0.5000 0.5000  0.70
Fe 0.7500 0.5000 0.5000  0.70
Si 0.4903 0.2896 0.7298  -0.04
Si 0.5097 0.7104 0.2702  -0.04
Si 0.2201 0.2896 0.2702  -0.04
Si 0.7799 0.7104 0.7298  -0.04

=====

Record 11
Sc2FeSi: relaxed, PBE.

Lattice parameters (Å, degrees): 2.9721 2.9721 7.6300 90.00 90.00 90.00
Fractional coordinates of all 4 atoms:
Fe 0.5000 0.5000 0.7050
Sc 0.0000 0.0000 0.9336
Sc 0.5000 0.5000 0.3036
Si 0.0000 0.0000 0.5578

=====

Record 12
ScFe2Si: relaxed, PBE.

Lattice parameters (Å, degrees): 4.5281 4.5281 4.5281 128.52 128.52 75.79
Site moments in Bohr magnetons follow the coordinates.
Fractional coordinates of all 4 atoms:
Fe 0.0000 0.0000 0.0000  2.00
Fe 0.2500 0.7500 0.5000  2.23
Sc 0.5000 0.5000 0.0000  -0.20
Si 0.7500 0.2500 0.5000  -0.02

=====

Record 13
Sc2Fe2Si: relaxed, PBE.

Lattice parameters (Å, degrees): 3.2333 3.2333 8.4298 78.94 78.94 90.00
Site moments in Bohr magnetons follow the coordinates.
Fractional coordinates of all 5 atoms:
Sc 0.3895 0.3895 0.2211  -0.13
Sc 0.6105 0.6105 0.7789  -0.13
Si 0.0000 0.0000 0.0000  -0.01
Fe 0.7500 0.2500 0.5000  1.79
Fe 0.2500 0.7500 0.5000  1.79

=====

Record 14
Sc2Fe3Si3: relaxed, PBE.

Lattice parameters (Å, degrees): 6.8054 6.8054 11.6837 90.00 90.00 154.32
Site moments in Bohr magnetons follow the coordinates.
Fractional coordinates of all 16 atoms:
Sc 0.2401 0.7599 0.3789  -0.07
Sc 0.7599 0.2401 0.8789  -0.07
Sc 0.2401 0.7599 0.1211  -0.07
Sc 0.7599 0.2401 0.6211  -0.07
Si 0.4081 0.5919 0.9709  -0.03
Si 0.5919 0.4081 0.4709  -0.03
Si 0.4081 0.5919 0.5291  -0.03
Si 0.5919 0.4081 0.0291  -0.03
Si 0.5966 0.4034 0.7500  -0.03
Si 0.4034 0.5966 0.2500  -0.03
Fe 0.0257 0.9743 0.8851  1.48
Fe 0.9743 0.0257 0.3851  1.48
Fe 0.0257 0.9743 0.6149  1.48
Fe 0.9743 0.0257 0.1149  1.48
Fe 0.4110 0.5890 0.7500  2.55
Fe 0.5890 0.4110 0.2500  2.55

=====

Record 15
Sc2Fe2Si: relaxed, PBE.

Lattice parameters (Å, degrees): 7.1116 7.1116 3.3986 90.00 90.00 90.00
Site moments in Bohr magnetons follow the coordinates.
Fractional coordinates of all 10 atoms:
Sc 0.3499 0.8499 0.0000  -0.26
Sc 0.8499 0.6501 0.0000  -0.26
Sc 0.6501 0.1501 0.0000  -0.26
Sc 0.1501 0.3499 0.0000  -0.26
Si 0.0000 0.0000 0.0000  0.05
Si 0.5000 0.5000 0.0000  0.05
Fe 0.1504 0.6504 0.5000  2.37
Fe 0.6504 0.8496 0.5000  2.35
Fe 0.8496 0.3496 0.5000  2.37
Fe 0.3496 0.1504 0.5000  2.35

=====

Record 16
ScFe2Si: relaxed, PBE.

Lattice parameters (Å, degrees): 4.0709 4.0709 3.0233 90.00 90.00 90.00
Site moments in Bohr magnetons follow the coordinates.
Fractional coordinates of all 4 atoms:
Fe 0.0000 0.0000 0.0000  0.31
Fe 0.5000 0.5000 0.0000  0.31
Sc 0.5000 0.0000 0.5000  -0.06
Si 0.0000 0.5000 0.5000  -0.02

=====

Record 17
ScFe2Si2: relaxed, PBE.

Lattice parameters (Å, degrees): 6.9119 6.9119 2.6707 90.00 90.00 90.00
Fractional coordinates of all 10 atoms:
Sc 0.0000 0.0000 0.0000
Sc 0.5000 0.5000 0.0000
Si 0.3650 0.8650 0.0000
Si 0.8650 0.6350 0.0000
Si 0.6350 0.1350 0.0000
Si 0.1350 0.3650 0.0000
Fe 0.1553 0.6553 0.5000
Fe 0.6553 0.8447 0.5000
Fe 0.8447 0.3447 0.5000
Fe 0.3447 0.1553 0.5000

=====

Record 18
ScFe2Si: relaxed, PBE.

Lattice parameters (Å, degrees): 4.1142 3.0147 4.6698 75.29 90.00 90.00
Site moments in Bohr magnetons follow the coordinates.
Fractional coordinates of all 4 atoms:
Fe 0.0000 0.9094 0.0204  1.49
Fe 0.5000 0.2096 0.1888  1.97
Sc 0.0000 0.4923 0.5207  -0.27
Si 0.5000 0.8887 0.7701  -0.04

=====

Record 19
ScFeSi4: relaxed, PBE.

Lattice parameters (Å, degrees): 4.9773 4.9773 4.9773 60.00 60.00 60.00
Site moments in Bohr magnetons follow the coordinates.
Fractional coordinates of all 6 atoms:
Sc 0.0000 0.0000 0.0000  -0.01
Fe 0.7500 0.7500 0.7500  2.79
Si 0.8718 0.3761 0.3761  0.03
Si 0.3761 0.3761 0.8718  0.03
Si 0.3761 0.8718 0.3761  0.03
Si 0.3761 0.3761 0.3761  0.03

=====

Record 20
SrScFeSi2: relaxed, PBE.

Lattice parameters (Å, degrees): 5.2777 4.7474 5.2777 90.00 90.00 90.00
Site moments in Bohr magnetons follow the coordinates.
Fractional coordinates of all 5 atoms:
Sc 0.5000 0.5000 0.5000  -0.14
Sr 0.0000 0.0000 0.0000  -0.07
Si 0.0000 0.0000 0.5000  0.00
Si 0.5000 0.0000 0.0000  0.03
Fe 0.0000 0.5000 0.0000  2.65

=====

Per-record size of the total moment, μB per cell: 0.7 0.0 7.3 0.0 3.7 1.6 0.0 2.2 0.0 4.1 0.0 3.9 3.2 10.2 8.2 0.5 0.0 3.0 3.0 2.4
Per-record formation energy from raw total energies, eV/atom: -0.683 -0.671 -0.438 -0.533 -0.313 -0.267 -0.504 0.083 -0.468 -0.486 -0.334 -0.214 -0.067 -0.369 0.252 -0.304 -0.425 -0.222 0.058 1.586
Per-record electronic total energy, Ry per atom: -0.5455 -0.5283 -0.5648 -0.5234 -0.5183 -0.5074 -0.5323 -0.5209 -0.5044 -0.5480 -0.5124 -0.5427 -0.5196 -0.5262 -0.4961 -0.5493 -0.5325 -0.5433 -0.4427 -0.2851